{
  "formula": "AsIrW2",
  "functional": "PBE",
  "state": "relaxed",
  "cell": [[-2.276, 4.295, -0.807], [-2.644, 3.636, 2.018], [3.088, 3.348, 1.184]],
  "species": ["As", "Ir", "W", "W"],
  "fractional_positions": [[0.504, 0.504, 0.548], [0.244, 0.244, 0.203], [0.988, 0.988, 0.063], [0.763, 0.763, 0.686]],
  "formation_enthalpy_0k_ev_per_atom": 0.128,
  "n_ef_per_ev_cell": 2.271
}

***

{
  "formula": "As3IrW",
  "functional": "PBE",
  "state": "relaxed",
  "cell": [[4.803, 0.000, 0.000], [0.000, 4.803, 0.000], [0.000, 0.000, 4.803]],
  "species": ["As", "As", "As", "Ir", "W"],
  "fractional_positions": [[0.000, 0.500, 0.000], [0.000, 0.000, 0.500], [0.500, 0.000, 0.000], [0.500, 0.500, 0.500], [0.000, 0.000, 0.000]],
  "formation_enthalpy_0k_ev_per_atom": 1.163,
  "n_ef_per_ev_cell": 4.942,
  "de_polymorph_mev_per_atom": 0
}

***

{
  "formula": "As2IrW",
  "functional": "PBE",
  "state": "relaxed",
  "cell": [[-0.624, 0.607, -2.841], [2.904, -0.836, -0.816], [-2.218, -6.788, -0.963]],
  "species": ["As", "As", "Ir", "W"],
  "fractional_positions": [[0.000, 0.250, 0.969], [0.000, 0.250, 0.531], [0.500, 0.250, 0.250], [0.500, 0.750, 0.750]],
  "formation_enthalpy_0k_ev_per_atom": 0.319,
  "n_ef_per_ev_cell": 3.207,
  "de_polymorph_mev_per_atom": 289
}

***

{
  "formula": "AsIrW2",
  "functional": "PBE",
  "state": "relaxed",
  "cell": [[-1.530, -0.310, 5.323], [-3.372, -1.219, -3.487], [-0.188, -2.729, 0.674]],
  "species": ["As", "Ir", "W", "W"],
  "fractional_positions": [[0.000, 0.500, 0.500], [0.500, 0.500, 0.000], [0.000, 0.000, 0.000], [0.500, 0.000, 0.500]],
  "formation_enthalpy_0k_ev_per_atom": 0.297,
  "n_ef_per_ev_cell": 2.214
}

***

{
  "formula": "As2IrW",
  "functional": "PBE",
  "state": "relaxed",
  "cell": [[5.473, -0.001, -0.004], [2.907, 4.637, 0.004], [-3.778, -3.063, 2.510]],
  "species": ["As", "As", "Ir", "W"],
  "fractional_positions": [[0.993, 0.993, 0.000], [0.266, 0.766, 0.500], [0.487, 0.487, 0.000], [0.755, 0.255, 0.500]],
  "formation_enthalpy_0k_ev_per_atom": 0.305,
  "n_ef_per_ev_cell": 3.268,
  "de_polymorph_mev_per_atom": 274
}

***

{
  "formula": "As2IrW",
  "functional": "PBE",
  "state": "relaxed",
  "cell": [[-0.123, 2.910, -0.706], [-0.453, -1.228, -4.983], [-4.213, -0.081, 0.403]],
  "species": ["As", "As", "Ir", "W"],
  "fractional_positions": [[0.000, 0.000, 0.000], [0.500, 0.500, 0.000], [0.500, 0.000, 0.500], [0.000, 0.500, 0.500]],
  "formation_enthalpy_0k_ev_per_atom": 0.495,
  "n_ef_per_ev_cell": 3.295,
  "de_polymorph_mev_per_atom": 465
}

***

{
  "formula": "AsIrW2",
  "functional": "PBE",
  "state": "relaxed",
  "cell": [[4.945, -0.005, 0.000], [-2.165, 4.446, 0.000], [0.000, 0.000, 2.843]],
  "species": ["As", "Ir", "W", "W"],
  "fractional_positions": [[0.500, 0.000, 0.500], [0.000, 0.500, 0.500], [0.000, 0.000, 0.000], [0.500, 0.500, 0.000]],
  "formation_enthalpy_0k_ev_per_atom": 0.313,
  "n_ef_per_ev_cell": 2.967
}

***

{
  "formula": "AsIrW2",
  "functional": "PBE",
  "state": "relaxed",
  "cell": [[9.052, 0.013, 0.008], [8.600, 2.824, 0.008], [8.600, 1.382, 2.462]],
  "species": ["As", "Ir", "W", "W"],
  "fractional_positions": [[0.250, 0.250, 0.250], [0.750, 0.750, 0.750], [0.000, 0.000, 0.000], [0.500, 0.500, 0.500]],
  "formation_enthalpy_0k_ev_per_atom": 0.174,
  "n_ef_per_ev_cell": 1.600
}

***

{
  "formula": "AsIrW2",
  "functional": "PBE",
  "state": "relaxed",
  "cell": [[-0.847, -2.395, -4.234], [3.920, -2.622, -1.464], [-2.464, 0.330, 4.267]],
  "species": ["As", "Ir", "W", "W"],
  "fractional_positions": [[0.500, 0.500, 0.000], [0.750, 0.250, 0.500], [0.000, 0.000, 0.000], [0.250, 0.750, 0.500]],
  "formation_enthalpy_0k_ev_per_atom": 0.368,
  "n_ef_per_ev_cell": 4.070
}

***

{
  "formula": "YAsIr2",
  "functional": "PBE",
  "state": "relaxed",
  "cell": [[5.002, -0.002, -0.002], [1.430, 4.794, 0.002], [-2.897, -2.825, 2.942]],
  "species": ["Y", "As", "Ir", "Ir"],
  "fractional_positions": [[0.750, 0.250, 0.500], [0.250, 0.750, 0.500], [0.025, 0.025, 0.000], [0.475, 0.475, 0.000]],
  "formation_enthalpy_0k_ev_per_atom": -0.366,
  "n_ef_per_ev_cell": 1.650
}

***

{
  "formula": "YAsIr2",
  "functional": "PBE",
  "state": "relaxed",
  "cell": [[4.172, 0.000, 0.000], [0.000, 2.987, 0.022], [0.000, 1.448, 5.756]],
  "species": ["Y", "As", "Ir", "Ir"],
  "fractional_positions": [[0.000, 0.559, 0.507], [0.500, 0.921, 0.785], [0.000, 0.806, 0.012], [0.500, 0.214, 0.196]],
  "formation_enthalpy_0k_ev_per_atom": -0.341,
  "n_ef_per_ev_cell": 3.037
}

***

{
  "formula": "YAsIr",
  "functional": "PBE",
  "state": "relaxed",
  "cell": [[-4.090, 0.519, 3.926], [-4.009, -2.720, 2.992], [1.360, -0.824, 2.973]],
  "species": ["Y", "As", "Ir"],
  "fractional_positions": [[0.674, 0.674, 0.326], [0.966, 0.966, 0.034], [0.360, 0.360, 0.640]],
  "formation_enthalpy_0k_ev_per_atom": -0.487,
  "n_ef_per_ev_cell": 3.893
}

***

{
  "formula": "YAsIr2",
  "functional": "PBE",
  "state": "relaxed",
  "cell": [[-5.386, -1.413, 0.218], [-3.215, -2.791, 3.595], [-4.301, 1.301, 3.296]],
  "species": ["Y", "As", "Ir", "Ir"],
  "fractional_positions": [[0.250, 0.250, 0.250], [0.750, 0.750, 0.750], [0.042, 0.042, 0.042], [0.458, 0.458, 0.458]],
  "formation_enthalpy_0k_ev_per_atom": -0.444,
  "n_ef_per_ev_cell": 2.814
}

***

{
  "formula": "YAsIr2",
  "functional": "PBE",
  "state": "relaxed",
  "cell": [[-0.918, 4.497, -0.836], [-3.147, 1.176, -3.237], [-4.098, 1.822, 1.284]],
  "species": ["Y", "As", "Ir", "Ir"],
  "fractional_positions": [[0.750, 0.750, 0.750], [0.500, 0.500, 0.500], [0.000, 0.000, 0.000], [0.250, 0.250, 0.250]],
  "formation_enthalpy_0k_ev_per_atom": -0.046,
  "n_ef_per_ev_cell": 7.353
}

***

{
  "formula": "YAsIr2",
  "functional": "PBE",
  "state": "relaxed",
  "cell": [[-1.185, -1.936, 2.110], [-0.740, -1.999, -2.250], [6.527, -3.218, 0.713]],
  "species": ["Y", "As", "Ir", "Ir"],
  "fractional_positions": [[0.500, 0.500, 0.250], [0.500, 0.500, 0.750], [0.000, 0.000, 0.961], [0.000, 0.000, 0.539]],
  "formation_enthalpy_0k_ev_per_atom": -0.308,
  "n_ef_per_ev_cell": 1.652
}

***

{
  "formula": "YAsIr4",
  "functional": "PBE",
  "state": "relaxed",
  "cell": [[0.000, 3.750, 3.750], [3.750, 0.000, 3.750], [3.750, 3.750, 0.000]],
  "species": ["Y", "As", "Ir", "Ir", "Ir", "Ir"],
  "fractional_positions": [[0.750, 0.750, 0.750], [0.000, 0.000, 0.000], [0.876, 0.375, 0.375], [0.375, 0.375, 0.876], [0.375, 0.876, 0.375], [0.375, 0.375, 0.375]],
  "formation_enthalpy_0k_ev_per_atom": -0.160,
  "n_ef_per_ev_cell": 6.191
}

***

{
  "formula": "YAsIr2",
  "functional": "PBE",
  "state": "relaxed",
  "cell": [[-0.421, 3.199, -0.091], [-3.118, -0.390, 0.742], [1.567, 0.400, 6.792]],
  "species": ["Y", "As", "Ir", "Ir"],
  "fractional_positions": [[0.000, 0.000, 0.485], [0.500, 0.500, 0.813], [0.000, 0.000, 0.970], [0.500, 0.500, 0.232]],
  "formation_enthalpy_0k_ev_per_atom": -0.224,
  "n_ef_per_ev_cell": 2.612
}

***

{
  "formula": "YAsIr2",
  "functional": "PBE",
  "state": "relaxed",
  "cell": [[-2.274, -2.454, -2.024], [2.517, -3.223, 1.080], [-2.346, -0.675, 3.454]],
  "species": ["Y", "As", "Ir", "Ir"],
  "fractional_positions": [[0.500, 0.500, 0.000], [0.500, 0.000, 0.500], [0.000, 0.000, 0.000], [0.000, 0.500, 0.500]],
  "formation_enthalpy_0k_ev_per_atom": -0.399,
  "n_ef_per_ev_cell": 2.061
}

***

{
  "formula": "YAs4Ir",
  "functional": "PBE",
  "state": "relaxed",
  "cell": [[4.337, -3.342, 0.407], [-0.282, -4.492, 3.144], [-0.139, -4.973, -2.323]],
  "species": ["Y", "As", "As", "As", "As", "Ir"],
  "fractional_positions": [[0.000, 0.000, 0.000], [0.873, 0.376, 0.376], [0.376, 0.376, 0.873], [0.376, 0.873, 0.376], [0.376, 0.376, 0.376], [0.750, 0.750, 0.750]],
  "formation_enthalpy_0k_ev_per_atom": 0.187,
  "n_ef_per_ev_cell": 3.007
}

***

{
  "formula": "YAsIr2",
  "functional": "PBE",
  "state": "relaxed",
  "cell": [[5.465, 0.001, 0.001], [3.735, 3.990, 0.001], [3.735, 1.620, 3.646]],
  "species": ["Y", "As", "Ir", "Ir"],
  "fractional_positions": [[0.508, 0.508, 0.508], [0.717, 0.717, 0.717], [0.976, 0.976, 0.976], [0.299, 0.299, 0.299]],
  "formation_enthalpy_0k_ev_per_atom": -0.464,
  "n_ef_per_ev_cell": 1.272
}